Sn3IrW: relaxed, GGA-PBE.

Cell: 5.204 5.204 5.204 Å, 90.00 90.00 90.00°
Each line ends with the local moment (μB).
Fractional positions:
Sn (0.500, 0.000, 0.000)  -0.01
Sn (0.000, 0.500, 0.000)  0.02
Sn (0.000, 0.000, 0.500)  0.08
W (0.000, 0.000, 0.000)  0.78
Ir (0.500, 0.500, 0.500)  1.76

The total DFT energy (no corrections) is -5.481 eV/atom. As for the density of states at the Fermi level: 4.69 states/eV/f.u. The energy of formation from the pure elements is 1.2836 eV/atom. As for the space-group type: No. 221. Its total magnetization is 3.00 μB per cell.

Y2SnIr2: relaxed, GGA-PBE.

Cell: 4.383 5.870 5.603 Å, 121.59 113.03 90.00°
Fractional positions:
Ir (0.500, 0.720, 0.000)
Ir (0.500, 0.280, 0.000)
Sn (0.000, 0.000, 0.000)
Y (0.796, 0.296, 0.591)
Y (0.204, 0.704, 0.409)

The total DFT energy (no corrections) is -7.742 eV/atom. As for the density of states at the Fermi level: 3.44 states/eV/f.u. The energy of formation from the pure elements is -0.8113 eV/atom. As for the space-group type: No. 71. Its total magnetization is 0.00 μB per cell.

Y2Sn5Ir3: relaxed, GGA-PBE.

Cell: 4.429 7.301 13.481 Å, 90.00 99.46 90.00°
Fractional positions:
Ir (0.606, 0.509, 0.212)
Ir (0.394, 0.009, 0.788)
Ir (0.223, 0.222, 0.447)
Ir (0.777, 0.722, 0.553)
Ir (0.050, 0.974, 0.099)
Ir (0.950, 0.474, 0.901)
Sn (0.295, 0.939, 0.590)
Sn (0.880, 0.759, 0.760)
Sn (0.291, 0.508, 0.582)
Sn (0.402, 0.381, 0.805)
Sn (0.705, 0.439, 0.410)
Sn (0.953, 0.092, 0.905)
Sn (0.120, 0.259, 0.240)
Sn (0.047, 0.592, 0.095)
Sn (0.598, 0.881, 0.195)
Sn (0.709, 0.008, 0.418)
Y (0.172, 0.727, 0.344)
Y (0.477, 0.754, 0.954)
Y (0.523, 0.254, 0.046)
Y (0.828, 0.227, 0.656)

The total DFT energy (no corrections) is -6.581 eV/atom. As for the density of states at the Fermi level: 4.57 states/eV/f.u. The energy of formation from the pure elements is -0.6284 eV/atom. As for the space-group type: No. 36. Its total magnetization is 0.00 μB per cell.

What did the first record say?
Sn3IrW: relaxed, GGA-PBE.

Cell: 5.204 5.204 5.204 Å, 90.00 90.00 90.00°
Each line ends with the local moment (μB).
Fractional positions:
Sn (0.500, 0.000, 0.000)  -0.01
Sn (0.000, 0.500, 0.000)  0.02
Sn (0.000, 0.000, 0.500)  0.08
W (0.000, 0.000, 0.000)  0.78
Ir (0.500, 0.500, 0.500)  1.76

The total DFT energy (no corrections) is -5.481 eV/atom. As for the density of states at the Fermi level: 4.69 states/eV/f.u. The energy of formation from the pure elements is 1.2836 eV/atom. As for the space-group type: No. 221. Its total magnetization is 3.00 μB per cell.